A geometry-optimized CaVFe2H structure. Source: the Alexandria database, functional GGA-PBE.

Cell: 3.974 3.845 3.974 Å, 90.00 90.00 90.00°
Atoms (fractional coordinates):
Fe1 0.000 0.000 0.500
Ca1 0.000 0.500 0.000
Fe2 0.500 0.000 0.000
V1 0.500 0.500 0.500
H1 0.000 0.000 0.000



A geometry-optimized Cd2CoOs structure. Source: the Alexandria database, functional GGA-PBE.

Cell: 4.527 4.527 4.527 Å, 60.00 60.00 60.00°
Atoms (fractional coordinates):
Os1 0.500 0.500 0.500
Cd1 0.250 0.250 0.250
Cd2 0.750 0.750 0.750
Co1 0.000 0.000 0.000

## Properties
- Formation energy: 287 kJ/mol of formula units
- Energy above the lowest structure with this stoichiometry: 469 meV per atom



A geometry-optimized TlHgMo3 structure. Source: the Alexandria database, functional GGA-PBE.

Cell: 4.989 4.989 4.989 Å, 90.00 90.00 90.00°
Atoms (fractional coordinates):
Tl1 0.000 0.000 0.000
Mo1 0.000 0.500 0.000
Mo2 0.500 0.000 0.000
Mo3 0.000 0.000 0.500
Hg1 0.500 0.500 0.500

## Properties
- Formation energy: 1240 kJ/mol of formula units
- Energy above the lowest structure with this stoichiometry: 136 meV per atom



A geometry-optimized EuThCd structure. Source: the Alexandria database, functional GGA-PBE.

Cell: 3.427 5.483 5.483 Å, 120.00 90.00 90.00°
Atoms (fractional coordinates):
Th1 0.357 0.333 0.667
Eu1 0.979 0.000 0.000
Cd1 0.664 0.667 0.333

## Properties
- Formation energy: 27 kJ/mol of formula units
- Energy above the lowest structure with this stoichiometry: 117 meV per atom



A geometry-optimized Te2PdCl structure. Source: the Alexandria database, functional GGA-PBE.

Cell: 4.962 4.962 4.962 Å, 60.00 60.00 60.00°
Atoms (fractional coordinates):
Te1 0.750 0.750 0.750
Pd1 0.500 0.500 0.500
Te2 0.250 0.250 0.250
Cl1 0.000 0.000 0.000



A geometry-optimized Pm6Sb2Os structure. Source: the Alexandria database, functional GGA-PBE.

Cell: 4.220 8.479 8.480 Å, 120.00 90.00 90.00°
Atoms (fractional coordinates):
Os1 0.500 0.000 0.000
Pm1 0.000 0.000 0.239
Pm2 0.000 0.761 0.761
Pm3 0.500 0.598 0.000
Pm4 0.000 0.239 0.000
Sb1 0.000 0.667 0.333
Pm5 0.500 0.402 0.402
Sb2 0.000 0.333 0.667
Pm6 0.500 0.000 0.598



A geometry-optimized Mg2CrCu structure. Source: the Alexandria database, functional GGA-PBE.

Cell: 5.029 5.029 5.029 Å, 132.21 132.21 69.90°
Atoms (fractional coordinates):
Mg1 0.250 0.750 0.500
Mg2 0.000 0.000 0.000
Cr1 0.500 0.500 0.000
Cu1 0.750 0.250 0.500

## Properties
- Formation energy: 95 kJ/mol of formula units
- Energy above the lowest structure with this stoichiometry: 24 meV per atom



A geometry-optimized Ca3AlCu structure. Source: the Alexandria database, functional GGA-PBE.

Cell: 5.452 5.452 5.452 Å, 90.00 90.00 90.00°
Atoms (fractional coordinates):
Ca1 0.000 0.500 0.000
Ca2 0.000 0.000 0.500
Al1 0.500 0.500 0.500
Ca3 0.500 0.000 0.000
Cu1 0.000 0.000 0.000

## Properties
- Formation energy: 67 kJ/mol of formula units
- Energy above the lowest structure with this stoichiometry: 0 meV per atom



A geometry-optimized Al2HgTeBr structure. Source: the Alexandria database, functional GGA-PBE.

Cell: 5.482 5.483 5.482 Å, 90.00 90.00 90.00°
Atoms (fractional coordinates):
Hg1 0.000 0.000 0.000
Al1 0.500 0.000 0.000
Br1 0.500 0.500 0.500
Te1 0.000 0.500 0.000
Al2 0.000 0.000 0.500



A geometry-optimized AcH4Ru structure. Source: the Alexandria database, functional GGA-PBE.

Cell: 3.609 3.609 4.837 Å, 89.98 90.20 90.03°
Atoms (fractional coordinates):
Ru1 0.000 0.500 0.500
H1 0.000 0.000 0.500
H2 0.002 0.500 0.154
Ac1 0.500 0.000 0.000
H3 0.500 0.500 0.500
H4 0.998 0.500 0.846

## Properties
- Energy above the lowest structure with this stoichiometry: 0 meV per atom



A geometry-optimized Pm3Sm5Tl structure. Source: the Alexandria database, functional GGA-PBE.

Cell: 7.704 7.704 11.471 Å, 90.17 90.17 99.40°
Atoms (fractional coordinates):
Sm1 0.678 0.678 0.001
Pm1 0.665 0.665 0.490
Tl1 0.844 0.844 0.240
Pm2 0.825 0.825 0.750
Sm2 0.515 0.515 0.241
Sm3 0.253 0.747 0.000
Sm4 0.376 0.882 0.636
Sm5 0.322 0.322 0.999
Pm3 0.175 0.175 0.250
Pm4 0.000 0.000 0.500
Sm6 0.118 0.624 0.364
Sm7 0.624 0.118 0.364
Sm8 0.747 0.253 0.000
Tl2 0.156 0.156 0.760
Sm9 0.485 0.485 0.759
Sm10 0.882 0.376 0.636
Pm5 0.000 0.000 0.000
Pm6 0.335 0.335 0.510

## Properties
- Formation energy: 316 kJ/mol of formula units



A geometry-optimized ThMnBe2Pt5 structure. Source: the Alexandria database, functional GGA-PBE.

Cell: 4.096 4.096 9.304 Å, 90.00 90.00 90.00°
Atoms (fractional coordinates):
Pt1 0.500 0.000 0.175
Be1 0.500 0.500 0.735
Mn1 0.000 0.000 0.000
Pt2 0.500 0.000 0.825
Pt3 0.000 0.500 0.825
Pt4 0.500 0.500 0.500
Be2 0.500 0.500 0.265
Th1 0.000 0.000 0.500
Pt5 0.000 0.500 0.175

## Properties
- Formation energy: -462 kJ/mol of formula units



A geometry-optimized YMgCuSi2 structure. Source: the Alexandria database, functional GGA-PBE.

Cell: 4.546 5.138 4.546 Å, 90.00 90.00 90.00°
Atoms (fractional coordinates):
Si1 0.000 0.000 0.500
Y1 0.000 0.500 0.000
Mg1 0.500 0.500 0.500
Cu1 0.000 0.000 0.000
Si2 0.500 0.000 0.000



A geometry-optimized EuErNiHg structure. Source: the Alexandria database, functional GGA-PBE.

Cell: 5.115 5.115 5.115 Å, 60.00 60.00 60.00°
Atoms (fractional coordinates):
Hg1 0.500 0.500 0.500
Ni1 0.000 0.000 0.000
Er1 0.250 0.250 0.250
Eu1 0.750 0.750 0.750

## Properties
- Formation energy: -99 kJ/mol of formula units



A geometry-optimized SrDyPuN3 structure. Source: the Alexandria database, functional GGA-PBE.

Cell: 3.467 6.835 9.904 Å, 92.30 90.00 90.00°
Atoms (fractional coordinates):
Sr1 0.750 0.843 0.783
N1 0.250 0.579 0.896
Sr2 0.250 0.157 0.217
N2 0.750 0.150 0.431
Dy1 0.750 0.819 0.429
Pu1 0.750 0.357 0.882
N3 0.250 0.167 0.819
N4 0.750 0.833 0.181
Pu2 0.250 0.643 0.118
N5 0.750 0.421 0.104
N6 0.250 0.850 0.569
Dy2 0.250 0.181 0.571



A geometry-optimized Tb3Si2S8I structure. Source: the Alexandria database, functional GGA-PBE.

Cell: 8.761 8.761 10.694 Å, 81.91 81.91 52.08°
Atoms (fractional coordinates):
S1 0.549 0.745 0.170
S2 0.715 0.851 0.413
S3 0.895 0.392 0.354
Si1 0.697 0.620 0.475
Si2 0.303 0.380 0.525
I1 0.983 0.017 0.750
Tb1 0.328 0.076 0.319
S4 0.451 0.255 0.830
Tb2 0.612 0.388 0.250
S5 0.149 0.285 0.087
S6 0.608 0.105 0.146
Tb3 0.076 0.328 0.819
Tb4 0.672 0.924 0.681
S7 0.730 0.405 0.965
I2 0.017 0.983 0.250
S8 0.255 0.451 0.330
S9 0.285 0.149 0.587
Tb5 0.924 0.672 0.181
S10 0.392 0.895 0.854
S11 0.105 0.608 0.646
Si3 0.620 0.697 0.975
Si4 0.380 0.303 0.025
S12 0.745 0.549 0.670
S13 0.270 0.595 0.035
Tb6 0.388 0.612 0.750
S14 0.595 0.270 0.535
S15 0.851 0.715 0.913
S16 0.405 0.730 0.465



A geometry-optimized Cr2MoSe structure. Source: the Alexandria database, functional GGA-PBE.

Cell: 4.708 4.708 4.708 Å, 131.52 131.52 70.99°
Atoms (fractional coordinates):
Cr1 0.000 0.000 0.000
Cr2 0.500 0.500 0.000
Mo1 0.250 0.750 0.500
Se1 0.750 0.250 0.500



A geometry-optimized Sc2Co21B6 structure. Source: the Alexandria database, functional GGA-PBE.

Cell: 7.458 7.458 7.458 Å, 60.00 60.00 60.00°
Atoms (fractional coordinates):
Co1 0.385 0.385 0.385
Sc1 0.750 0.750 0.750
Co2 0.000 0.337 0.000
Co3 0.663 0.000 0.000
B1 0.275 0.725 0.275
Co4 0.615 0.156 0.615
Co5 0.844 0.385 0.385
B2 0.275 0.275 0.725
Co6 0.663 0.337 0.000
Co7 0.385 0.385 0.844
Co8 0.337 0.663 0.000
Co9 0.156 0.615 0.615
Co10 0.615 0.615 0.615
Co11 0.000 0.337 0.663
Co12 0.000 0.663 0.000
Co13 0.385 0.844 0.385
B3 0.725 0.725 0.275
B4 0.725 0.275 0.725
Co14 0.000 0.000 0.337
Co15 0.615 0.615 0.156
Co16 0.000 0.663 0.337
Co17 0.663 0.000 0.337
Co18 0.000 0.000 0.663
Co19 0.000 0.000 0.000
B5 0.275 0.725 0.725
Co20 0.337 0.000 0.663
Sc2 0.250 0.250 0.250
B6 0.725 0.275 0.275
Co21 0.337 0.000 0.000

## Properties
- Formation energy: -730 kJ/mol of formula units



A geometry-optimized FeTe2Os structure. Source: the Alexandria database, functional GGA-PBE.

Cell: 3.442 3.442 7.514 Å, 90.00 90.00 90.00°
Atoms (fractional coordinates):
Fe1 0.000 0.000 0.544
Te1 0.000 0.000 0.892
Te2 0.500 0.500 0.357
Os1 0.500 0.500 0.708

## Properties
- Energy above the lowest structure with this stoichiometry: 211 meV per atom



A geometry-optimized Zr2VH6 structure. Source: the Alexandria database, functional GGA-PBE.

Cell: 3.461 3.223 8.043 Å, 75.47 77.58 57.53°
Atoms (fractional coordinates):
H1 0.325 0.765 0.584
Zr1 0.350 0.982 0.317
H2 0.675 0.235 0.416
H3 0.644 0.651 0.061
Zr2 0.650 0.018 0.683
H4 0.356 0.349 0.939
V1 0.000 0.000 0.000
H5 0.017 0.738 0.227
H6 0.983 0.262 0.773

## Properties
- Energy above the lowest structure with this stoichiometry: 78 meV per atom



no.,Fermi-level density of states (states/eV/cell),total energy (eV per cell),total magnetic moment (μB per formula unit)
1,7.32,-27.723,0.0
2,7.70,-17.196,2.2
3,8.97,-22.306,0.0
4,3.12,-18.326,7.1
5,2.28,-12.981,0.0
6,11.66,-53.436,0.0
7,2.05,-15.927,4.2
8,5.70,-13.146,0.0
9,3.82,-10.346,0.0
10,1.13,-28.802,0.0
11,28.60,-73.879,0.0
12,3.94,-59.038,4.5
13,2.27,-21.736,0.0
14,9.09,-21.943,7.0
15,14.17,-103.485,4.0
16,0.00,-157.774,0.0
17,4.65,-31.794,3.4
18,38.38,-209.518,21.4
19,2.93,-24.496,3.5
20,2.99,-49.362,0.5